Record 1
VASP calculation (PBE) on an optimized crystal structure of Mg2AsAu.

ΔH_f (0 K): -281 meV per atom
Symmetry: No. 166

Cell and atoms, written as extended XYZ:
```
4
Lattice="1.6460 0.9503 8.3570 -1.6460 0.9503 8.3570 0.0000 -1.9006 8.3570" Properties=species:S:1:pos:R:3 pbc="T T T"
Mg 0.0000 0.0000 6.2444
Mg 0.0000 0.0000 18.8268
As 0.0000 0.0000 0.0000
Au 0.0000 0.0000 12.5356
```


Record 2
VASP calculation (PBE) on an optimized crystal structure of Mg2AsAu.

ΔH_f (0 K): -415 meV per atom
Symmetry: No. 160

Cell and atoms, written as extended XYZ:
```
4
Lattice="2.0653 1.1924 5.7768 -2.0653 1.1924 5.7768 0.0000 -2.3849 5.7768" Properties=species:S:1:pos:R:3 pbc="T T T"
Mg 0.0000 0.0000 0.0000
Mg 0.0000 0.0000 3.2301
As 0.0000 0.0000 10.2394
Au 0.0000 0.0000 7.4316
```


Record 3
VASP calculation (PBE) on an optimized crystal structure of Mg2AsAu.

ΔH_f (0 K): -143 meV per atom
Symmetry: No. 216

Cell and atoms, written as extended XYZ:
```
4
Lattice="0.0000 3.3972 3.3972 3.3972 0.0000 3.3972 3.3972 3.3972 0.0000" Properties=species:S:1:pos:R:3 pbc="T T T"
Mg 0.0000 0.0000 0.0000
Mg 1.6986 1.6986 1.6986
As 3.3972 3.3972 3.3972
Au 5.0958 5.0958 5.0958
```


Record 4
VASP calculation (PBE) on an optimized crystal structure of MgAsAu2.

ΔH_f (0 K): -177 meV per atom
Symmetry: No. 122

Cell and atoms, written as extended XYZ:
```
8
Lattice="-2.0374 2.0374 9.4634 2.0374 -2.0374 9.4634 2.0374 2.0374 -9.4634" Properties=species:S:1:pos:R:3 pbc="T T T"
Mg 0.0000 0.0000 0.0000
Mg 0.0000 2.0374 4.7317
As 2.0374 0.0000 4.7317
As 0.0000 0.0000 9.4634
Au 1.0187 -1.0085 7.0975
Au 1.0290 1.0187 2.3658
Au 1.0187 3.0459 -2.3658
Au 1.0085 1.0187 11.8292
```


Record 5
VASP calculation (PBE) on an optimized crystal structure of Mg4AsAu3.

ΔH_f (0 K): -520 meV per atom
Symmetry: No. 166

Cell and atoms, written as extended XYZ:
```
8
Lattice="2.3437 1.3532 7.7856 -2.3437 1.3532 7.7856 0.0000 -2.7063 7.7856" Properties=species:S:1:pos:R:3 pbc="T T T"
Mg 0.0000 0.0000 2.8713
Mg 0.0000 0.0000 8.7657
Mg 0.0000 0.0000 14.5910
Mg 0.0000 0.0000 20.4854
As 0.0000 0.0000 11.6784
Au 0.0000 0.0000 0.0000
Au 0.0000 0.0000 5.9598
Au 0.0000 0.0000 17.3970
```


Record 6
VASP calculation (PBE) on an optimized crystal structure of Mg3AsAu.

Excess energy over the best structure of this formula in the dataset: 0 meV/atom
ΔH_f (0 K): -54 meV per atom
Symmetry: No. 221

Cell and atoms, written as extended XYZ:
```
5
Lattice="4.9575 0.0000 0.0000 0.0000 4.9575 0.0000 0.0000 0.0000 4.9575" Properties=species:S:1:pos:R:3 pbc="T T T"
Mg 0.0000 0.0000 2.4788
Mg 0.0000 2.4788 0.0000
Mg 2.4788 0.0000 0.0000
As 0.0000 0.0000 0.0000
Au 2.4788 2.4788 2.4788
```


Record 7
VASP calculation (PBE) on an optimized crystal structure of Mg2AsAu.

ΔH_f (0 K): -435 meV per atom
Symmetry: No. 10

Cell and atoms, written as extended XYZ:
```
4
Lattice="3.0913 0.0000 0.0000 0.0000 3.6430 0.0000 -0.0168 0.0000 6.6646" Properties=species:S:1:pos:R:3 pbc="T T T"
Mg -0.0008 0.0000 1.6216
Mg 3.0753 0.0000 5.0430
As 1.5373 1.8215 3.3323
Au 1.5457 1.8215 0.0000
```


Record 8
VASP calculation (PBE) on an optimized crystal structure of MgAsAu3.

Excess energy over the best structure of this formula in the dataset: 0 meV/atom
ΔH_f (0 K): 230 meV per atom
Symmetry: No. 221

Cell and atoms, written as extended XYZ:
```
5
Lattice="4.9541 0.0000 0.0000 0.0000 4.9541 0.0000 0.0000 0.0000 4.9541" Properties=species:S:1:pos:R:3 pbc="T T T"
Mg 0.0000 0.0000 0.0000
As 2.4770 2.4770 2.4770
Au 0.0000 2.4770 2.4770
Au 2.4770 0.0000 2.4770
Au 2.4770 2.4770 0.0000
```


Record 9
VASP calculation (PBE) on an optimized crystal structure of MgAsAu2.

ΔH_f (0 K): -121 meV per atom
Symmetry: No. 99

Cell and atoms, written as extended XYZ:
```
4
Lattice="2.9966 0.0000 0.0000 0.0000 2.9966 0.0000 0.0000 0.0000 8.2506" Properties=species:S:1:pos:R:3 pbc="T T T"
Mg 0.0000 0.0000 0.0000
As 1.4983 1.4983 2.0813
Au 0.0000 0.0000 4.2708
Au 1.4983 1.4983 6.4106
```


Record 10
VASP calculation (PBE) on an optimized crystal structure of MgAsAu2.

ΔH_f (0 K): -236 meV per atom
Symmetry: No. 123

Cell and atoms, written as extended XYZ:
```
4
Lattice="4.1650 0.0000 0.0000 0.0000 4.1650 0.0000 0.0000 0.0000 4.2200" Properties=species:S:1:pos:R:3 pbc="T T T"
Mg 0.0000 0.0000 0.0000
As 2.0825 2.0825 0.0000
Au 0.0000 2.0825 2.1100
Au 2.0825 0.0000 2.1100
```


Record 11
VASP calculation (PBE) on an optimized crystal structure of NaMgAsAu.

ΔH_f (0 K): -315 meV per atom
Symmetry: No. 216

Cell and atoms, written as extended XYZ:
```
4
Lattice="0.0000 3.3998 3.3998 3.3998 0.0000 3.3998 3.3998 3.3998 0.0000" Properties=species:S:1:pos:R:3 pbc="T T T"
Na 0.0000 0.0000 0.0000
Mg 3.3998 3.3998 3.3998
As 1.6999 1.6999 1.6999
Au 5.0996 5.0996 5.0996
```


Record 12
VASP calculation (PBE) on an optimized crystal structure of MgNpAsAu.

ΔH_f (0 K): -357 meV per atom
Symmetry: No. 216

Cell and atoms, written as extended XYZ:
```
4
Lattice="0.0000 3.4833 3.4833 3.4833 0.0000 3.4833 3.4833 3.4833 0.0000" Properties=species:S:1:pos:R:3 pbc="T T T"
Mg 0.0000 0.0000 0.0000
Np 3.4833 3.4833 3.4833
As 1.7416 1.7416 1.7416
Au 5.2249 5.2249 5.2249
```


Record 13
VASP calculation (PBE) on an optimized crystal structure of MgAsAu2O6.

Energy relative to the elements, uncorrected: -19.011 kcal/mol of atoms
Symmetry: No. 15

Cell and atoms, written as extended XYZ:
```
20
Lattice="5.1926 -4.7359 0.0000 5.1926 4.7359 0.0000 -0.6060 0.0000 5.1863" Properties=species:S:1:pos:R:3 pbc="T T T"
Mg 4.7381 3.9978 3.8897
Mg 5.0411 -3.9978 1.2966
As 5.0411 2.2674 1.2966
As 4.7381 -2.2674 3.8897
Au 2.3656 1.4543 3.9596
Au 2.6685 -1.4543 1.3664
Au 7.1106 1.4543 3.8198
Au 7.4136 -1.4543 1.2267
O 4.1386 3.7707 0.3887
O 3.6600 2.6451 2.6742
O 5.9435 3.7707 2.2045
O 4.1593 1.0134 0.3878
O 5.8162 2.6451 5.1052
O 5.9228 1.0134 2.2054
O 3.8563 -1.0134 2.9809
O 3.9630 -2.6451 0.0811
O 5.6198 -1.0134 4.7985
O 3.8356 -3.7707 2.9818
O 6.1192 -2.6451 2.5120
O 5.6405 -3.7707 4.7976
```


Record 14
VASP calculation (PBE) on an optimized crystal structure of MgAsPd2Au.

ΔH_f (0 K): 598 meV per atom
Symmetry: No. 123

Cell and atoms, written as extended XYZ:
```
5
Lattice="4.6533 0.0000 0.0000 0.0000 4.6533 0.0000 0.0000 0.0000 4.7495" Properties=species:S:1:pos:R:3 pbc="T T T"
Mg 0.0000 0.0000 0.0000
As 0.0000 0.0000 2.3747
Pd 0.0000 2.3266 0.0000
Pd 2.3266 0.0000 0.0000
Au 2.3266 2.3266 2.3747
```


Record 15
VASP calculation (PBE) on an optimized crystal structure of Mg2As2Pd5Au.

ΔH_f (0 K): -417 meV per atom
Symmetry: No. 127

Cell and atoms, written as extended XYZ:
```
20
Lattice="9.4818 0.0000 0.0000 0.0000 9.4818 0.0000 0.0000 0.0000 3.8015" Properties=species:S:1:pos:R:3 pbc="T T T"
Mg 1.6043 3.1366 0.0000
Mg 3.1366 7.8775 0.0000
Mg 6.3452 1.6043 0.0000
Mg 7.8775 6.3452 0.0000
As 1.2511 5.9920 0.0000
As 3.4898 1.2511 0.0000
As 5.9920 8.2307 0.0000
As 8.2307 3.4898 0.0000
Pd 0.0000 4.7409 1.9008
Pd 0.7172 7.5606 1.9008
Pd 1.9213 0.7172 1.9008
Pd 2.8197 5.4582 1.9008
Pd 4.0237 2.8197 1.9008
Pd 4.7409 0.0000 1.9008
Pd 5.4582 6.6622 1.9008
Pd 6.6622 4.0237 1.9008
Pd 7.5606 8.7646 1.9008
Pd 8.7646 1.9213 1.9008
Au 0.0000 0.0000 0.0000
Au 4.7409 4.7409 0.0000
```


Record 16
VASP calculation (PBE) on an optimized crystal structure of MgAs2AuS.

Energy relative to the elements, uncorrected: 8.288 kcal/mol of atoms
Symmetry: No. 123

Cell and atoms, written as extended XYZ:
```
5
Lattice="4.8748 0.0000 0.0000 0.0000 4.8748 0.0000 0.0000 0.0000 4.6161" Properties=species:S:1:pos:R:3 pbc="T T T"
Mg 0.0000 0.0000 0.0000
As 0.0000 2.4374 2.3080
As 2.4374 0.0000 2.3080
Au 2.4374 2.4374 0.0000
S 0.0000 0.0000 2.3080
```


Record 17
VASP calculation (PBE) on an optimized crystal structure of MgAsAuSe2.

Excess energy over the best structure of this formula in the dataset: 0 meV/atom
Energy relative to the elements, uncorrected: 9.548 kcal/mol of atoms
Symmetry: No. 123

Cell and atoms, written as extended XYZ:
```
5
Lattice="5.2640 0.0000 0.0000 0.0000 5.2640 0.0000 0.0000 0.0000 4.8161" Properties=species:S:1:pos:R:3 pbc="T T T"
Mg 0.0000 0.0000 0.0000
As 2.6320 2.6320 0.0000
Au 2.6320 2.6320 2.4081
Se 0.0000 2.6320 2.4081
Se 2.6320 0.0000 2.4081
```


Record 18
VASP calculation (PBE) on an optimized crystal structure of MgAs2AuSe.

Excess energy over the best structure of this formula in the dataset: 0 meV/atom
Energy relative to the elements, uncorrected: 12.875 kcal/mol of atoms
Symmetry: No. 123

Cell and atoms, written as extended XYZ:
```
5
Lattice="5.0090 0.0000 0.0000 0.0000 5.0090 0.0000 0.0000 0.0000 5.2648" Properties=species:S:1:pos:R:3 pbc="T T T"
Mg 0.0000 0.0000 0.0000
As 0.0000 2.5045 2.6324
As 2.5045 0.0000 2.6324
Au 2.5045 2.5045 2.6324
Se 2.5045 2.5045 0.0000
```


Record 19
VASP calculation (PBE) on an optimized crystal structure of Mn2AsAu.

ΔH_f (0 K): 103 meV per atom
Symmetry: No. 8

Cell and atoms, written as extended XYZ:
```
4
Lattice="4.7584 -1.6488 0.0000 4.7584 1.6488 0.0000 -0.3372 0.0000 4.2609" Properties=species:S:1:pos:R:3 pbc="T T T"
Mn 0.0000 0.0000 0.0000
Mn 6.9527 0.0000 1.5087
As 2.2376 0.0000 3.8018
Au 4.4157 0.0000 2.1119
```


Record 20
VASP calculation (PBE) on an optimized crystal structure of MnAs2Au.

Excess energy over the best structure of this formula in the dataset: 8 meV/atom
ΔH_f (0 K): 53 meV per atom
Symmetry: No. 6

Cell and atoms, written as extended XYZ:
```
4
Lattice="3.8499 0.0000 0.0000 0.0000 3.6847 0.0000 -0.8575 0.0000 5.1725" Properties=species:S:1:pos:R:3 pbc="T T T"
Mn 0.0000 0.0000 0.0000
As 1.0764 1.8423 4.7778
As 2.8829 0.0000 2.5134
Au 0.9529 1.8423 2.1162
```


Record 21
VASP calculation (PBE) on an optimized crystal structure of Mn2AsAu.

ΔH_f (0 K): 45 meV per atom
Symmetry: No. 10

Cell and atoms, written as extended XYZ:
```
4
Lattice="3.2576 0.0000 0.0000 0.0000 3.2417 0.0000 -0.0634 0.0000 5.9965" Properties=species:S:1:pos:R:3 pbc="T T T"
Mn -0.0039 0.0000 1.6312
Mn 3.1981 0.0000 4.3653
As 1.5971 1.6208 2.9983
Au 1.6288 1.6208 0.0000
```


Record 22
VASP calculation (PBE) on an optimized crystal structure of MnAs2Au.

Excess energy over the best structure of this formula in the dataset: 84 meV/atom
ΔH_f (0 K): 129 meV per atom
Symmetry: No. 35

Cell and atoms, written as extended XYZ:
```
4
Lattice="2.0100 -2.0142 0.0000 2.0100 2.0142 0.0000 0.0000 0.0000 9.3050" Properties=species:S:1:pos:R:3 pbc="T T T"
Mn 0.0000 0.0000 0.0000
As 0.0000 0.0000 5.0842
As 2.0100 0.0000 1.7448
Au 2.0100 0.0000 7.3387
```


Record 23
VASP calculation (PBE) on an optimized crystal structure of MnAs2Au.

Excess energy over the best structure of this formula in the dataset: 34 meV/atom
ΔH_f (0 K): 79 meV per atom
Symmetry: No. 166

Cell and atoms, written as extended XYZ:
```
4
Lattice="1.5400 0.8891 8.2361 -1.5400 0.8891 8.2361 0.0000 -1.7782 8.2361" Properties=species:S:1:pos:R:3 pbc="T T T"
Mn 0.0000 0.0000 0.0000
As 0.0000 0.0000 6.5333
As 0.0000 0.0000 18.1749
Au 0.0000 0.0000 12.3541
```


Record 24
VASP calculation (PBE) on an optimized crystal structure of MnAs2Au.

Excess energy over the best structure of this formula in the dataset: 85 meV/atom
ΔH_f (0 K): 130 meV per atom
Symmetry: No. 123

Cell and atoms, written as extended XYZ:
```
4
Lattice="2.8875 0.0000 0.0000 0.0000 2.8875 0.0000 0.0000 0.0000 8.1393" Properties=species:S:1:pos:R:3 pbc="T T T"
Mn 0.0000 0.0000 0.0000
As 1.4437 1.4437 1.4707
As 1.4437 1.4437 6.6686
Au 0.0000 0.0000 4.0697
```


Record 25
VASP calculation (PBE) on an optimized crystal structure of MnAs2Au.

Excess energy over the best structure of this formula in the dataset: 120 meV/atom
ΔH_f (0 K): 165 meV per atom
Symmetry: No. 123

Cell and atoms, written as extended XYZ:
```
4
Lattice="4.9446 0.0000 0.0000 0.0000 4.9446 0.0000 0.0000 0.0000 2.9006" Properties=species:S:1:pos:R:3 pbc="T T T"
Mn 0.0000 0.0000 0.0000
As 0.0000 2.4723 1.4503
As 2.4723 0.0000 1.4503
Au 2.4723 2.4723 0.0000
```


Record 26
VASP calculation (PBE) on an optimized crystal structure of MnAsAu.

Excess energy over the best structure of this formula in the dataset: 38 meV/atom
ΔH_f (0 K): 71 meV per atom
Symmetry: No. 42

Cell and atoms, written as extended XYZ:
```
3
Lattice="0.0000 2.1953 6.2614 1.8986 0.0000 6.2614 1.8986 2.1953 0.0000" Properties=species:S:1:pos:R:3 pbc="T T T"
Mn 0.0000 0.0000 0.0000
As 1.8986 2.1953 4.5463
Au 1.8986 2.1953 8.1804
```


Record 27
VASP calculation (PBE) on an optimized crystal structure of MnAs2Au.

Excess energy over the best structure of this formula in the dataset: 101 meV/atom
ΔH_f (0 K): 146 meV per atom
Symmetry: No. 160

Cell and atoms, written as extended XYZ:
```
4
Lattice="1.7451 1.0075 6.9933 -1.7451 1.0075 6.9933 0.0000 -2.0151 6.9933" Properties=species:S:1:pos:R:3 pbc="T T T"
Mn 0.0000 0.0000 0.0000
As 0.0000 0.0000 10.4143
As 0.0000 0.0000 15.4539
Au 0.0000 0.0000 5.1871
```


Record 28
VASP calculation (PBE) on an optimized crystal structure of MnAsAu.

Excess energy over the best structure of this formula in the dataset: 62 meV/atom
ΔH_f (0 K): 95 meV per atom
Symmetry: No. 156

Cell and atoms, written as extended XYZ:
```
3
Lattice="3.3660 0.0000 0.0000 -1.6830 2.9151 0.0000 0.0000 0.0000 5.5677" Properties=species:S:1:pos:R:3 pbc="T T T"
Mn 0.0000 0.0000 0.0000
As 1.6830 0.9717 1.5112
Au 0.0000 1.9434 3.7366
```


Number 1: V 19.61 Å³ per atom, E -3.060 eV per atom. Number 2: V 21.34 Å³ per atom, E -3.194 eV per atom. Number 3: V 19.60 Å³ per atom, E -2.922 eV per atom. Number 4: V 19.64 Å³ per atom, E -3.377 eV per atom. Number 5: V 18.52 Å³ per atom, E -3.127 eV per atom. Number 6: V 24.37 Å³ per atom, E -2.596 eV per atom. Number 7: V 18.76 Å³ per atom, E -3.214 eV per atom. Number 8: V 24.32 Å³ per atom, E -2.986 eV per atom. Number 9: V 18.52 Å³ per atom, E -3.321 eV per atom. Number 10: V 18.30 Å³ per atom, E -3.436 eV per atom. Number 11: V 19.65 Å³ per atom, E -3.025 eV per atom. Number 12: V 21.13 Å³ per atom, E -5.972 eV per atom. Number 13: V 12.75 Å³ per atom, E -5.079 eV per atom. Number 14: V 20.57 Å³ per atom, E -3.384 eV per atom. Number 15: V 17.09 Å³ per atom, E -4.590 eV per atom. Number 16: V 21.94 Å³ per atom, E -3.300 eV per atom. Number 17: V 26.69 Å³ per atom, E -2.884 eV per atom. Number 18: V 26.42 Å³ per atom, E -2.973 eV per atom. Number 19: V 16.71 Å³ per atom, E -6.464 eV per atom. Number 20: V 18.34 Å³ per atom, E -5.383 eV per atom. Number 21: V 15.83 Å³ per atom, E -6.521 eV per atom. Number 22: V 18.84 Å³ per atom, E -5.307 eV per atom. Number 23: V 16.92 Å³ per atom, E -5.357 eV per atom. Number 24: V 16.97 Å³ per atom, E -5.306 eV per atom. Number 25: V 17.73 Å³ per atom, E -5.272 eV per atom. Number 26: V 17.40 Å³ per atom, E -5.627 eV per atom. Number 27: V 18.44 Å³ per atom, E -5.291 eV per atom. Number 28: V 18.21 Å³ per atom, E -5.604 eV per atom.